Material: GaCoNO2
Method: DFT, GGA+U
State: relaxed

The structure in POSCAR format:
```
GaCoNO2
1.0
3.902 0.000 0.000
0.000 3.902 0.000
0.000 0.000 3.785
Ga Co N O
1 1 1 2
Direct
0.000 0.000 0.000 Ga
0.500 0.500 0.500 Co
0.000 0.000 0.500 N
0.000 0.500 0.000 O
0.500 0.000 0.000 O
```

Calculated values
Its symmetry is P4/mmm, No. 123. The total energy is -5.044 eV/atom. Its density of states at the Fermi level is 0.19 states/eV/atom. For the size of the total moment, the calculation gives 5.00 μB/cell. The crystal system is tetragonal.